(1)
VASP calculation (PBE) on crystalline AcZn4Pb at its relaxed geometry.

Calculated values
energy of formation from the pure elements: -0.108 eV per atom
space-group type: F-43m
calculated total energy: -2.260 eV/atom
total magnetization: 0.0 Bohr magnetons per cell

abc: 5.7691 5.7691 5.7691
angles: 60.00 60.00 60.00
Fractional positions:
Pb1 0.0000 0.0000 0.0000
Zn1 0.6264 0.6264 0.1208
Zn2 0.1208 0.6264 0.6264
Zn3 0.6264 0.6264 0.6264
Zn4 0.6264 0.1208 0.6264
Ac1 0.2500 0.2500 0.2500

***

(2)
VASP calculation (PBE) on crystalline Ac5Zn2Pb5 at its relaxed geometry.

Calculated values
energy of formation from the pure elements: -0.468 eV per atom
space-group type: C2/m
calculated total energy: -3.937 eV/atom
total magnetization: 0.0 Bohr magnetons per cell

abc: 4.8513 9.0001 9.9416
angles: 82.27 75.88 74.36
Fractional positions:
Ac1 0.6985 0.9289 0.6742
Ac2 0.3949 0.2956 0.9147
Ac3 0.5000 0.5000 0.5000
Ac4 0.6051 0.7044 0.0853
Ac5 0.3015 0.0711 0.3258
Pb1 0.9366 0.7725 0.3543
Pb2 0.7542 0.3158 0.1758
Pb3 0.0634 0.2275 0.6457
Pb4 0.0000 0.0000 0.0000
Pb5 0.2458 0.6842 0.8242
Zn1 0.1361 0.4579 0.2698
Zn2 0.8639 0.5421 0.7302

***

(3)
VASP calculation (PBE) on crystalline Ac6Zn5Pb at its relaxed geometry.

Calculated values
energy of formation from the pure elements: -0.274 eV per atom
space-group type: C2/m
calculated total energy: -3.168 eV/atom
total magnetization: 0.0 Bohr magnetons per cell

abc: 5.5939 9.7084 9.7084
angles: 120.14 106.71 106.71
Fractional positions:
Ac1 0.2546 0.4255 0.0841
Ac2 0.2408 0.7405 0.7405
Ac3 0.2546 0.0841 0.4255
Ac4 0.7454 0.9159 0.5745
Ac5 0.7454 0.5745 0.9159
Ac6 0.7592 0.2595 0.2595
Zn1 0.5000 0.1676 0.8324
Zn2 0.0000 0.3323 0.6677
Zn3 0.5000 0.5000 0.5000
Zn4 0.5000 0.8324 0.1676
Zn5 0.0000 0.6677 0.3323
Pb1 0.0000 0.0000 0.0000

***

Which of these has the lowest energy of formation from the pure elements?
Ac5Zn2Pb5